# CuSnPt14 | the Alexandria database | PBE | relaxed
data_CuSnPt14
_symmetry_space_group_name_H-M 'A m m 2'
_symmetry_Int_Tables_number 38
_symmetry_space_group_name_Hall 'A 2 -2'
_cell_length_a 9.323
_cell_length_b 5.608
_cell_length_c 9.683
_cell_angle_alpha 90.00
_cell_angle_beta 90.00
_cell_angle_gamma 90.00
loop_
_atom_site_label
_atom_site_type_symbol
_atom_site_fract_x
_atom_site_fract_y
_atom_site_fract_z
Cu1 Cu 0.000 0.000 0.000
Sn1 Sn 0.000 0.000 0.501
Pt1 Pt 0.000 0.249 0.252
Pt2 Pt 0.245 0.248 0.078
Pt3 Pt 0.247 0.000 0.830
Pt4 Pt 0.251 0.000 0.328
Pt5 Pt 0.500 0.000 0.158
Pt6 Pt 0.500 0.000 0.659
Pt7 Pt 0.500 0.250 0.409
# VASP energy in eV/atom: -5.881
# D(E_F) in states/eV/cell: 47.99
# Spin magnetization in μB per formula unit: 0.00